A plane-wave DFT calculation with PBE with a Hubbard U was carried out for PaW2O8 after structural relaxation.

Cell and atoms, written as CIF:
```
data_PaW2O8
_cell_length_a 6.3119
_cell_length_b 6.3119
_cell_length_c 6.0330
_cell_angle_alpha 90.00
_cell_angle_beta 90.00
_cell_angle_gamma 120.00
_symmetry_space_group_name_H-M 'P -3 m 1'
_symmetry_Int_Tables_number 164
_symmetry_space_group_name_Hall '-P 3 2"'
loop_
_atom_site_label
_atom_site_type_symbol
_atom_site_fract_x
_atom_site_fract_y
_atom_site_fract_z
_atom_site_occupancy
Pa1 Pa 0.0000 0.0000 0.0000 1
W1 W 0.3333 0.6667 0.3020 1
O1 O 0.1741 0.3481 0.2048 1
O2 O 0.3333 0.6667 0.5932 1
```

Computed properties:
The value obtained for the total energy is -8.08 eV/atom.